A plane-wave DFT calculation with PBEsol was carried out for a geometry-optimized KBiRh3 structure.

Properties
Electronic total energy = -4.043 eV per atom
ρ = 9.1 Mg/m³

Cell: 4.658 4.658 4.658 Å, 90.00 90.00 90.00°
Site moments in Bohr magnetons follow the coordinates.
Fractional positions:
1 Rh 0.000 0.500 0.000  0.17
2 Rh 0.500 0.000 0.000  0.17
3 Rh 0.000 0.000 0.500  0.17
4 K 0.000 0.000 0.000  0.00
5 Bi 0.500 0.500 0.500  -0.01

=====

A plane-wave DFT calculation with PBEsol was carried out for a geometry-optimized EuB2Ir2 structure.

Properties
Electronic total energy = -9.538 eV per atom
ρ = 12.5 Mg/m³

Cell: 5.523 5.523 6.107 Å, 105.46 105.46 114.23°
Site moments in Bohr magnetons follow the coordinates.
Fractional positions:
1 Ir 0.130 0.130 0.260  -0.01
2 Ir 0.380 0.880 0.760  -0.01
3 Ir 0.870 0.870 0.740  -0.01
4 Ir 0.120 0.620 0.240  -0.01
5 B 0.822 0.178 0.000  -0.01
6 B 0.072 0.928 0.500  -0.01
7 B 0.178 0.822 0.000  -0.01
8 B 0.428 0.572 0.500  -0.01
9 Eu 0.500 0.500 0.000  6.69
10 Eu 0.750 0.250 0.500  6.69

=====

- Among the records above, which one has the highest electronic total energy?
  KBiRh3

=====

- Which of these has the highest electronic total energy?
  KBiRh3